one) AcHo2Cu | PBE-GGA | optimized geometry

abc: 3.590 3.590 8.935
angles: 90.00 90.00 90.00
Atoms (fractional coordinates):
Ac (0.000, 0.000, 0.000)
Ho (0.500, 0.500, 0.318)
Ho (0.500, 0.500, 0.682)
Cu (0.000, 0.000, 0.500)

- Total moment: 0.000 μB/f.u.

two) AcHo2Cu | PBE-GGA | optimized geometry

abc: 10.068 10.068 10.068
angles: 21.79 21.79 21.79
Atoms (fractional coordinates):
Ac (0.000, 0.000, 0.000)
Ho (0.228, 0.228, 0.228)
Ho (0.772, 0.772, 0.772)
Cu (0.500, 0.500, 0.500)

- Total moment: 0.000 μB/f.u.

It is one) that is the most stable of them.